A plane-wave DFT calculation with meta-GGA SCAN was carried out for a crystal of MnCrBr2 relaxed with PBEsol.

a b c (Å): 3.428 3.957 6.873
angles (deg): 106.57 104.44 90.00
Fractional coordinates of all 4 atoms:
Mn (0.000, 0.500, 0.000)
Br (0.138, 0.139, 0.277)
Br (0.862, 0.861, 0.723)
Cr (0.500, 0.000, 0.000)

Output
formation energy without anion corrections	-64	kJ/mol of formula units
raw total energy	-19.0543	eV/atom
calculated volume	86.3	Å³ per cell

---

A plane-wave DFT calculation with meta-GGA SCAN was carried out for a crystal of Mn2CrBr relaxed with PBEsol.

a b c (Å): 2.877 4.279 4.279
angles (deg): 90.00 90.00 90.00
Fractional coordinates of all 4 atoms:
Mn (0.000, 0.500, 0.000)
Mn (0.000, 0.000, 0.500)
Cr (0.500, 0.000, 0.000)
Br (0.500, 0.500, 0.500)

Output
excess energy over the best structure of this formula in the dataset	191	meV per atom
formation energy without anion corrections	231	kJ/mol of formula units
raw total energy	-17.9904	eV/atom
calculated volume	52.7	Å³ per cell

---

| no. | magnetization (μB per formula unit) |
| --- | --- |
| 1 | 6.79 |
| 2 | 2.56 |